Compound: VBPtF2
Source: the Alexandria database
Functional: PBE with a Hubbard U
Structure: optimized geometry Values from VASP.

The structure in Quantum ESPRESSO input format:
```
&SYSTEM
  ibrav = 0, nat = 5, ntyp = 4
/
ATOMIC_SPECIES
V 50.94 V.upf
B 10.81 B.upf
Pt 195.08 Pt.upf
F 19.00 F.upf
ATOMIC_POSITIONS crystal
V 0.0000 0.0000 0.0000
B 0.0000 0.0000 0.5000
Pt 0.5000 0.5000 0.0000
F 0.0000 0.5000 0.5000
F 0.5000 0.0000 0.5000
CELL_PARAMETERS angstrom
3.4807 0.0000 0.0000
0.0000 3.4807 0.0000
0.0000 0.0000 5.3039
```

The total energy is -4.62 eV per atom.